DFT (GGA-PBE) results for crystalline BaDyHfN3 at its relaxed geometry.

The space group is P2_1/m (No. 11) and the conventional cell measures 6.194, 3.715 and 8.804 Å, with angles of 90.00, 102.77 and 90.00 degrees. Symmetry generates all atoms from Ba at (0.143, 0.250, 0.189), Dy at (0.255, 0.750, 0.538), Hf at (0.376, 0.250, 0.848), N at (0.082, 0.250, 0.655), N at (0.315, 0.750, 0.948) and N at (0.456, 0.750, 0.335).

The value obtained for the magnetization is 0.0 μB per formula unit. The final energy comes out at -49.478 eV per formula unit.